Entry 1:
This record from Alexandria via LeMat-Bulk describes a relaxed TcAgBr2 crystal. The functional is PBE.

The value obtained for the energy above the lowest structure with this stoichiometry is 86.4 kJ/mol of formula units. For the formation energy (no corrections), the calculation gives 0.4344 eV per atom.

The space group is P4mm (No. 99) and the conventional cell measures 3.6367, 3.6367 and 7.7213 Å, with angles of 90.00, 90.00 and 90.00 degrees. The asymmetric unit holds Tc at (0.0000, 0.0000, 0.0000), Ag at (0.5000, 0.5000, 0.1852), Br at (0.0000, 0.0000, 0.3505) and Br at (0.5000, 0.5000, 0.7901).

Entry 2:
This record from Alexandria via LeMat-Bulk describes a relaxed LiCr2Tc crystal. The functional is PBE.

The calculation puts the formation energy at 1.75 eV/f.u.

The space group is Cmmm (No. 65) and the conventional cell measures 4.9751, 8.3624 and 2.4447 Å, with angles of 90.00, 90.00 and 90.00 degrees. The asymmetric unit holds Li at (0.0000, 0.0000, 0.0000), Cr at (0.2500, 0.2500, 0.5000) and Tc at (0.0000, 0.5000, 0.0000).

Entry 3:
This record from Alexandria via LeMat-Bulk describes a relaxed Tb3PaP2Rh9 crystal. The functional is PBE.

The calculation puts the formation energy at -10.72 eV/f.u.

The space group is P-3m1 (No. 164) and the conventional cell measures 6.0064, 6.0064 and 9.4393 Å, with angles of 90.00, 90.00 and 120.00 degrees. The asymmetric unit holds Tb at (0.0000, 0.0000, 0.0000), Tb at (0.3333, 0.6667, 0.7173), Pa at (0.0000, 0.0000, 0.5000), P at (0.3333, 0.6667, 0.1565), Rh at (0.0000, 0.5000, 0.0000) and Rh at (0.1526, 0.3053, 0.2806).

Entry 4:
This record from Alexandria via LeMat-Bulk describes a relaxed Ce2CdSn9 crystal. The functional is PBE.

The calculation puts the formation energy at -3.66 eV/f.u.

The space group is P4/mmm (No. 123) and the conventional cell measures 4.6593, 4.6593 and 14.7439 Å, with angles of 90.00, 90.00 and 90.00 degrees. The asymmetric unit holds Ce at (0.0000, 0.0000, 0.1567), Cd at (0.0000, 0.0000, 0.5000), Sn at (0.0000, 0.5000, 0.0000), Sn at (0.0000, 0.5000, 0.3316), Sn at (0.5000, 0.5000, 0.1663) and Sn at (0.5000, 0.5000, 0.5000).

Entry 5:
This record from Alexandria via LeMat-Bulk describes a relaxed Ba2Tb3Se6 crystal. The functional is PBE.

For the formation energy (no corrections), the calculation gives -1.9417 eV per atom.

The space group is C2/m (No. 12) and the conventional cell measures 7.2997, 12.6347 and 7.9412 Å, with angles of 90.00, 107.79 and 90.00 degrees. The asymmetric unit holds Ba at (0.0000, 0.1670, 0.0000), Tb at (0.0000, 0.0000, 0.5000), Tb at (0.0000, 0.3343, 0.5000), Se at (0.2375, 0.1664, 0.7123) and Se at (0.2373, 0.5000, 0.7140).

Entry 6:
This record from Alexandria via LeMat-Bulk describes a relaxed BaCdMo crystal. The functional is PBE.

The value obtained for the energy above the lowest structure with this stoichiometry is 52.1 kJ/mol of formula units. The calculation puts the formation energy at 2.94 eV/f.u.

The space group is P3m1 (No. 156) and the conventional cell measures 3.1737, 3.1737 and 8.5050 Å, with angles of 90.00, 90.00 and 120.00 degrees. The asymmetric unit holds Ba at (0.0000, 0.0000, 0.0000), Cd at (0.6667, 0.3333, 0.3842) and Mo at (0.3333, 0.6667, 0.6604).

Entry 7:
This record from Alexandria via LeMat-Bulk describes a relaxed SrGaI2N crystal. The functional is PBE.

The value obtained for the energy above the lowest structure with this stoichiometry is 0.0 kJ/mol of formula units. For the formation energy (no corrections), the calculation gives -0.2812 eV per atom.

The space group is P4/mmm (No. 123) and the conventional cell measures 6.0389, 6.0389 and 3.7073 Å, with angles of 90.00, 90.00 and 90.00 degrees. The asymmetric unit holds Sr at (0.0000, 0.0000, 0.0000), Ga at (0.5000, 0.5000, 0.5000), I at (0.0000, 0.5000, 0.5000) and N at (0.5000, 0.5000, 0.0000).

Entry 8:
This record from Alexandria via LeMat-Bulk describes a relaxed Tb5Th3Bi8 crystal. The functional is PBE.

The calculation puts the formation energy at -12.25 eV/f.u.

The space group is R-3m (No. 166, hexagonal axes) and the conventional cell measures 9.0781, 9.0781 and 22.1657 Å, with angles of 90.00, 90.00 and 120.00 degrees. The asymmetric unit holds Tb at (0.0000, 0.0000, 0.0000), Tb at (0.0000, 0.0000, 0.5000), Tb at (0.0000, 0.5000, 0.0000), Th at (0.0000, 0.5000, 0.5000), Bi at (0.0000, 0.0000, 0.2529) and Bi at (0.0034, 0.5017, 0.2517).